The following is a DFT calculation (PBE-GGA) of an optimized crystal structure of CoGeTe2.

```
data_CoGeTe2
_chemical_formula_sum 'Co4 Ge4 Te8'
_space_group_name_H-M_alt 'F -4 3 m'
_space_group_IT_number 216
_space_group_name_Hall 'F -4 2 3'
_cell_length_a 6.9419
_cell_length_b 6.9419
_cell_length_c 6.9419
_cell_angle_alpha 90.00
_cell_angle_beta 90.00
_cell_angle_gamma 90.00
loop_
_atom_site_label
_atom_site_fract_x
_atom_site_fract_y
_atom_site_fract_z
_atom_site_occupancy
Co1 0.0000 0.0000 0.0000 1
Ge1 0.2500 0.2500 0.7500 1
Te1 0.0000 0.0000 0.5000 1
Te2 0.2500 0.2500 0.2500 1
```



The following is a DFT calculation (PBE-GGA) of an optimized crystal structure of LiCuSnHg.

```
data_LiCuSnHg
_chemical_formula_sum 'Li4 Cu4 Sn4 Hg4'
_space_group_name_H-M_alt 'F -4 3 m'
_space_group_IT_number 216
_space_group_name_Hall 'F -4 2 3'
_cell_length_a 6.5987
_cell_length_b 6.5987
_cell_length_c 6.5987
_cell_angle_alpha 90.00
_cell_angle_beta 90.00
_cell_angle_gamma 90.00
loop_
_atom_site_label
_atom_site_fract_x
_atom_site_fract_y
_atom_site_fract_z
_atom_site_occupancy
Li1 0.0000 0.0000 0.0000 1
Cu1 0.0000 0.0000 0.5000 1
Sn1 0.2500 0.2500 0.2500 1
Hg1 0.2500 0.2500 0.7500 1
```

Calculated values
Polymorph energy (0 for the lowest one)   0.00 eV/f.u.



Q: Which raw total energy values were calculated for the entries above? A: -60.6; -41.4, in eV per cell.